Version i
Sb4Se | PBE-GGA | optimized geometry

Properties
Calculated density in Mg/m³: 6.11

Lattice parameters (Å, degrees): 5.8455 5.8455 5.8455 109.47 109.47 109.47
With the nearest neighbours (Å) after each atom.
Fractional positions:
Sb (0.0000, 0.0000, 0.5000)  2 Se 2.92
Sb (0.0000, 0.5000, 0.0000)  2 Se 2.92
Sb (0.5000, 0.0000, 0.0000)  2 Se 2.92
Sb (0.5000, 0.5000, 0.5000)  2 Se 2.92
Se (0.0000, 0.0000, 0.0000)  8 Sb 2.92


Version ii
Sb4Se | PBE-GGA | optimized geometry

Properties
Calculated density in Mg/m³: 5.93

Lattice parameters (Å, degrees): 5.4131 5.4131 5.4131 90.00 90.00 90.00
With the nearest neighbours (Å) after each atom.
Fractional positions:
Sb (0.0000, 0.0000, 0.0000)  12 Sb 3.83
Sb (0.0000, 0.5000, 0.5000)  2 Se 2.71
Sb (0.5000, 0.0000, 0.5000)  2 Se 2.71
Sb (0.5000, 0.5000, 0.0000)  2 Se 2.71
Se (0.5000, 0.5000, 0.5000)  6 Sb 2.71


The least stable of the structures above is version ii, whereas version i is the most stable.